[1]
First-principles (PBE-GGA) data for TlReRu2 after structural relaxation, as listed in Alexandria via LeMat-Bulk.

Energy relative to the lowest polymorph listed for this composition   278.7 meV per atom

a = 2.8577 Å, b = 2.8577 Å, c = 7.9644 Å
α = 90.00°, β = 90.00°, γ = 90.00°
Closest atoms and distances in Å follow each position.
Fractional coordinates of all 4 atoms:
Re1 0.5000 0.5000 0.7821  4 Ru 2.65, 4 Re 2.86
Ru1 0.0000 0.0000 0.9973  4 Re 2.65, 8 Ru 2.72-2.86
Ru2 0.5000 0.5000 0.2265  8 Ru 2.72-2.86, 4 Tl 2.94
Tl1 0.0000 0.0000 0.4941  4 Tl 2.86, 4 Ru 2.94, 4 Re 3.06

[2]
First-principles (PBE-GGA) data for TlReRu after structural relaxation, as listed in Alexandria via LeMat-Bulk.

a = 6.4061 Å, b = 6.4061 Å, c = 6.4061 Å
α = 153.65°, β = 153.65°, γ = 37.60°
Closest atoms and distances in Å follow each position.
Fractional coordinates of all 3 atoms:
Re1 0.9804 0.9804 0.0000  4 Ru 2.59
Ru1 0.3514 0.3514 0.0000  4 Re 2.59
Tl1 0.6682 0.6682 0.0000  4 Tl 2.92, 4 Ru 3.03, 4 Re 3.07

[3]
First-principles (PBE-GGA) data for TlReRu2 after structural relaxation, as listed in Alexandria via LeMat-Bulk.

Energy relative to the lowest polymorph listed for this composition   398.4 meV per atom

a = 4.5118 Å, b = 4.5118 Å, c = 4.5118 Å
α = 60.00°, β = 60.00°, γ = 60.00°
Closest atoms and distances in Å follow each position.
Fractional coordinates of all 4 atoms:
Re1 0.0000 0.0000 0.0000  8 Ru 2.76
Tl1 0.5000 0.5000 0.5000  8 Ru 2.76
Ru1 0.2500 0.2500 0.2500  4 Tl 2.76, 4 Re 2.76
Ru2 0.7500 0.7500 0.7500  4 Tl 2.76, 4 Re 2.76

[4]
First-principles (PBE-GGA) data for TlReRu2 after structural relaxation, as listed in Alexandria via LeMat-Bulk.

Energy relative to the lowest polymorph listed for this composition   291.6 meV per atom

a = 9.3381 Å, b = 9.3381 Å, c = 9.3381 Å
α = 17.63°, β = 17.63°, γ = 17.63°
Closest atoms and distances in Å follow each position.
Fractional coordinates of all 4 atoms:
Re1 0.7421 0.7421 0.7421  3 Ru 2.66, 6 Re 2.86
Ru1 0.9998 0.9998 0.9998  3 Re 2.66, 9 Ru 2.68-2.86
Ru2 0.2566 0.2566 0.2566  9 Ru 2.68-2.86, 3 Tl 2.94
Tl1 0.5015 0.5015 0.5015  6 Tl 2.86, 3 Ru 2.94, 3 Re 3.05

Calculated formation enthalpy at 0 K, 221, 134, 267, 226 kJ/mol of formula units (same order as the records).